## PmPuInRu (PBE)

Data for an optimized crystal structure of PmPuInRu.

Lattice parameters (Å, degrees): 5.1280 5.1280 5.1280 60.00 60.00 60.00
Fractional positions:
Pm (0.0000, 0.0000, 0.0000)
Pu (0.5000, 0.5000, 0.5000)
In (0.2500, 0.2500, 0.2500)
Ru (0.7500, 0.7500, 0.7500)

Computed properties:
**Calculated total energy**: -7.83 eV/atom
**Polymorph energy (0 for the lowest one)**: 0.71 eV/f.u.
**Volume**: 95.4 Å³ per cell


## YMnFe2Rh (PBE)

Data for an optimized crystal structure of YMnFe2Rh.

Lattice parameters (Å, degrees): 4.2487 4.2487 4.6294 90.00 90.00 90.00
Fractional positions:
Y (0.0000, 0.0000, 0.0000)
Mn (0.5000, 0.5000, 0.5000)
Fe (0.0000, 0.5000, 0.5000)
Fe (0.5000, 0.0000, 0.5000)
Rh (0.5000, 0.5000, 0.0000)

Computed properties:
**Calculated total energy**: -7.57 eV/atom
**Volume**: 83.6 Å³ per cell


Question: Which value of volume does entry 2 give?
Answer: 83.6 Å³ per cell


Repeat the second record exactly.
## YMnFe2Rh (PBE)

Data for an optimized crystal structure of YMnFe2Rh.

Lattice parameters (Å, degrees): 4.2487 4.2487 4.6294 90.00 90.00 90.00
Fractional positions:
Y (0.0000, 0.0000, 0.0000)
Mn (0.5000, 0.5000, 0.5000)
Fe (0.0000, 0.5000, 0.5000)
Fe (0.5000, 0.0000, 0.5000)
Rh (0.5000, 0.5000, 0.0000)

Computed properties:
**Calculated total energy**: -7.57 eV/atom
**Volume**: 83.6 Å³ per cell